(1)
LiCeGe2Ir: relaxed, PBE-GGA.

## Properties
ΔE_f: -0.6553 eV/atom

a b c (Å): 4.1857 4.1857 10.4156
angles (deg): 90.00 90.00 90.00
Last column: nearest neighbours and their distance in Å.
Space group I-4m2 (No. 119)
One atom of each set of equivalent atoms:
Li  0.0000  0.0000  0.0000 (multiplicity 2)  4 Ge 2.48
Ce  0.0000  0.5000  0.2500 (multiplicity 2)  8 Ge 3.22, 4 Li 3.34, 4 Ir 3.34
Ge  0.0000  0.5000  0.6283 (multiplicity 4)  2 Li 2.48, 2 Ir 2.48, 1 Ge 2.53
Ir  0.0000  0.0000  0.5000 (multiplicity 2)  4 Ge 2.48


(2)
Ag2TePd2: relaxed, PBE-GGA.

## Properties
polymorph energy (0 for the lowest one): 150 meV per atom
formation energy (no corrections): 0.28 eV/f.u.

a b c (Å): 7.8032 7.8032 3.1066
angles (deg): 90.00 90.00 90.00
Last column: nearest neighbours and their distance in Å.
Space group P4/mbm (No. 127)
One atom of each set of equivalent atoms:
Ag  0.1299  0.3701  0.0000 (multiplicity 4)  6 Pd 2.74-2.79, 1 Ag 2.87, 2 Te 3.06
Te  0.0000  0.0000  0.0000 (multiplicity 2)  4 Ag 3.06, 2 Te 3.11, 8 Pd 3.30
Pd  0.1655  0.6655  0.5000 (multiplicity 4)  6 Ag 2.74-2.79


(3)
AlTcIr2: relaxed, PBE-GGA.

## Properties
ΔE_f: -0.3231 eV/atom

a b c (Å): 3.8334 3.8334 7.8318
angles (deg): 90.00 90.00 90.00
Last column: nearest neighbours and their distance in Å.
Space group I-4m2 (No. 119)
One atom of each set of equivalent atoms:
Al  0.0000  0.0000  0.0000 (multiplicity 2)  8 Ir 2.71-2.74, 4 Tc 2.74
Tc  0.0000  0.5000  0.2500 (multiplicity 2)  8 Ir 2.71-2.74, 4 Al 2.74
Ir  0.0000  0.0000  0.5000 (multiplicity 2)  4 Al 2.71, 4 Tc 2.74, 4 Ir 2.74
Ir  0.0000  0.5000  0.7500 (multiplicity 2)  4 Tc 2.71, 4 Ir 2.74, 4 Al 2.74


(4)
Ac4GaTe2P: relaxed, PBE-GGA.

## Properties
formation energy (no corrections): -10.04 eV/f.u.

a b c (Å): 8.0406 4.5438 8.2185
angles (deg): 90.00 108.48 90.00
Last column: nearest neighbours and their distance in Å.
Space group P2/m (No. 10)
One atom of each set of equivalent atoms:
Ac  0.2359  0.0000  0.2202 (multiplicity 2)  2 P 3.14, 1 Ga 3.20, 3 Te 3.41-3.44
Ac  0.2543  0.5000  0.7716 (multiplicity 2)  1 P 3.18, 2 Ga 3.20, 3 Te 3.38-3.42
Ga  0.5000  0.0000  0.0000 (multiplicity 1)  6 Ac 3.20
Te  0.0000  0.0000  0.5000 (multiplicity 1)  6 Ac 3.38-3.41
Te  0.5000  0.5000  0.5000 (multiplicity 1)  6 Ac 3.42-3.44
P  0.0000  0.5000  0.0000 (multiplicity 1)  6 Ac 3.14-3.18


Magnetic moment across the listed records, respectively: 0.464, 0.000, 0.000, 0.000 μB/f.u..